# 1
Crystalline Na6Hg2Bi at its relaxed geometry. Source: Alexandria via LeMat-Bulk, functional PBE.

Calculated values
Its total energy is -1.59 eV per atom. For the energy above the most stable polymorph in this dataset, the calculation gives 0 meV per atom. As for the space group: No. 71. The value obtained for the formation energy is -0.212 eV per atom. As for the calculated density: 4.53 g/cm3.

Cell lengths 8.9664, 8.9664, 8.9664 Å; angles 103.32, 115.30, 110.02 degrees
With the nearest neighbours (Å) after each atom.
Fractional coordinates of all 18 atoms:
Hg 0.5000 0.6358 0.1358  1 Hg 3.02, 8 Na 3.13-3.24
Hg 0.3444 0.0000 0.3444  1 Hg 2.99, 8 Na 3.15-3.28, 1 Bi 3.31
Hg 0.6556 0.0000 0.6556  1 Hg 2.99, 8 Na 3.15-3.28, 1 Bi 3.31
Hg 0.5000 0.3642 0.8642  1 Hg 3.02, 8 Na 3.13-3.24
Na 0.7182 0.0504 0.3321  3 Hg 3.13-3.28, 1 Bi 3.45
Na 0.1900 0.2500 0.4400  2 Hg 3.15-3.23, 2 Bi 3.33
Na 0.2818 0.6139 0.3321  3 Hg 3.13-3.28, 1 Bi 3.45
Na 0.2818 0.9496 0.6679  3 Hg 3.13-3.28, 1 Bi 3.45
Na 0.9040 0.7184 0.1857  3 Hg 3.24-3.27, 1 Bi 3.40, 3 Na 3.56-3.61
Na 0.5327 0.7184 0.8143  3 Hg 3.24-3.27, 1 Bi 3.40, 3 Na 3.56-3.61
Na 0.8100 0.2500 0.0600  2 Hg 3.15-3.23, 2 Bi 3.33
Na 0.4673 0.2816 0.1857  3 Hg 3.24-3.27, 1 Bi 3.40, 3 Na 3.56-3.61
Na 0.0960 0.2816 0.8143  3 Hg 3.24-3.27, 1 Bi 3.40, 3 Na 3.56-3.61
Na 0.7182 0.3861 0.6679  3 Hg 3.13-3.28, 1 Bi 3.45
Na 0.1900 0.7500 0.9400  2 Hg 3.15-3.23, 2 Bi 3.33
Na 0.8100 0.7500 0.5600  2 Hg 3.15-3.23, 2 Bi 3.33
Bi 0.0000 0.0000 0.0000  2 Hg 3.31, 8 Na 3.33-3.40
Bi 0.0000 0.5000 0.5000  8 Na 3.33-3.45

---

# 2
Crystalline Na4Hg3Bi at its relaxed geometry. Source: Alexandria via LeMat-Bulk, functional PBE.

Calculated values
Its total energy is -1.51 eV per atom. For the energy above the most stable polymorph in this dataset, the calculation gives 0 meV per atom. As for the space group: No. 25. The value obtained for the formation energy is -0.248 eV per atom. As for the calculated density: 6.69 g/cm3.

Cell lengths 3.5812, 5.1532, 12.1462 Å; angles 90.00, 90.00, 90.00 degrees
With the nearest neighbours (Å) after each atom.
Fractional coordinates of all 8 atoms:
Bi 0.5000 0.5000 0.0769  2 Hg 3.26, 7 Na 3.26-3.35, 2 Bi 3.58
Na 0.0000 0.5000 0.8441  5 Hg 3.24-3.25, 2 Bi 3.35, 2 Na 3.58
Na 0.5000 0.0000 0.6572  7 Hg 3.10-3.30
Na 0.5000 0.5000 0.3452  1 Bi 3.26, 6 Hg 3.30-3.34, 2 Na 3.58
Na 0.0000 0.0000 0.1579  4 Bi 3.29, 3 Hg 3.29-3.47, 2 Na 3.58
Hg 0.5000 0.0000 0.9128  7 Na 3.10-3.47, 2 Bi 3.26
Hg 0.0000 0.0000 0.4288  2 Hg 3.14, 7 Na 3.29-3.30
Hg 0.0000 0.5000 0.5771  2 Hg 3.14, 7 Na 3.24-3.34

---

# 3
Crystalline Na12Hg6Bi at its relaxed geometry. Source: Alexandria via LeMat-Bulk, functional PBE.

Calculated values
Its total energy is -1.35 eV per atom. For the energy above the most stable polymorph in this dataset, the calculation gives 0 meV per atom. As for the space group: No. 148. The value obtained for the formation energy is -0.213 eV per atom. As for the calculated density: 5.37 g/cm3.

Cell lengths 8.3948, 8.9231, 8.9231 Å; angles 69.36, 71.72, 108.28 degrees
With the nearest neighbours (Å) after each atom.
Fractional coordinates of all 19 atoms:
Na 0.2519 0.4236 0.6275  5 Hg 3.20-3.41, 6 Na 3.25-3.58, 1 Bi 3.40
Na 0.5250 0.8532 0.2740  7 Na 3.25-3.58, 4 Hg 3.29-3.48, 1 Bi 3.46
Na 0.8795 0.6275 0.9488  5 Hg 3.20-3.41, 6 Na 3.25-3.58, 1 Bi 3.40
Na 0.7990 0.2740 0.8728  7 Na 3.25-3.58, 4 Hg 3.29-3.48, 1 Bi 3.46
Na 0.6718 0.8728 0.8532  7 Na 3.25-3.58, 4 Hg 3.29-3.48, 1 Bi 3.46
Na 0.3282 0.1272 0.1468  7 Na 3.25-3.58, 4 Hg 3.29-3.48, 1 Bi 3.46
Na 0.7481 0.5764 0.3725  5 Hg 3.20-3.41, 6 Na 3.25-3.58, 1 Bi 3.40
Na 0.1205 0.3725 0.0512  5 Hg 3.20-3.41, 6 Na 3.25-3.58, 1 Bi 3.40
Na 0.8283 0.9488 0.4236  5 Hg 3.20-3.41, 6 Na 3.25-3.58, 1 Bi 3.40
Na 0.1717 0.0512 0.5764  5 Hg 3.20-3.41, 6 Na 3.25-3.58, 1 Bi 3.40
Na 0.2010 0.7260 0.1272  7 Na 3.25-3.58, 4 Hg 3.29-3.48, 1 Bi 3.46
Na 0.4750 0.1468 0.7260  7 Na 3.25-3.58, 4 Hg 3.29-3.48, 1 Bi 3.46
Hg 0.4167 0.4662 0.2311  9 Na 3.20-3.48, 2 Hg 3.31
Hg 0.9505 0.3027 0.4662  9 Na 3.20-3.48, 2 Hg 3.31
Hg 0.0495 0.6973 0.5338  9 Na 3.20-3.48, 2 Hg 3.31
Hg 0.6478 0.2311 0.3027  9 Na 3.20-3.48, 2 Hg 3.31
Hg 0.3522 0.7689 0.6973  9 Na 3.20-3.48, 2 Hg 3.31
Hg 0.5833 0.5338 0.7689  9 Na 3.20-3.48, 2 Hg 3.31
Bi 0.0000 0.0000 0.0000  12 Na 3.40-3.46

---

# 4
Crystalline Na3HgBi2 at its relaxed geometry. Source: Alexandria via LeMat-Bulk, functional PBE.

Calculated values
Its total energy is -2.19 eV per atom. For the energy above the most stable polymorph in this dataset, the calculation gives 97 meV per atom. As for the space group: No. 12. The value obtained for the formation energy is -0.186 eV per atom. As for the calculated density: 6.18 g/cm3.

Cell lengths 3.5725, 9.9121, 12.5197 Å; angles 58.13, 81.80, 79.62 degrees
With the nearest neighbours (Å) after each atom.
Fractional coordinates of all 12 atoms:
Hg 0.4296 0.5138 0.6270  4 Bi 3.20-3.57, 4 Na 3.22-3.36, 3 Hg 3.30-3.57
Hg 0.5704 0.4862 0.3730  4 Bi 3.20-3.57, 4 Na 3.22-3.36, 3 Hg 3.30-3.57
Bi 0.1862 0.5118 0.1158  5 Na 3.24-3.32, 4 Bi 3.49-3.57, 2 Hg 3.55
Bi 0.6120 0.1464 0.6297  2 Hg 3.20-3.57, 6 Na 3.21-3.35, 2 Bi 3.57
Bi 0.3880 0.8536 0.3703  2 Hg 3.20-3.57, 6 Na 3.21-3.35, 2 Bi 3.57
Bi 0.8138 0.4882 0.8842  5 Na 3.24-3.32, 4 Bi 3.49-3.57, 2 Hg 3.55
Na 0.0125 0.7921 0.1829  3 Bi 3.22-3.24, 2 Hg 3.22, 2 Na 3.57
Na 0.7873 0.8173 0.6081  4 Bi 3.27-3.35, 2 Hg 3.36, 5 Na 3.57-3.63
Na 0.3567 0.1837 0.1029  4 Bi 3.21-3.32, 3 Na 3.57-3.58
Na 0.9875 0.2079 0.8171  3 Bi 3.22-3.24, 2 Hg 3.22, 2 Na 3.57
Na 0.6433 0.8163 0.8971  4 Bi 3.21-3.32, 3 Na 3.57-3.58
Na 0.2127 0.1827 0.3919  4 Bi 3.27-3.35, 2 Hg 3.36, 5 Na 3.57-3.63

---

# 5
Crystalline Na3Hg2Bi4 at its relaxed geometry. Source: Alexandria via LeMat-Bulk, functional PBE.

Calculated values
Its total energy is -2.40 eV per atom. For the energy above the most stable polymorph in this dataset, the calculation gives 31 meV per atom. As for the space group: No. 15. The value obtained for the formation energy is -0.164 eV per atom. As for the calculated density: 8.20 g/cm3.

Cell lengths 6.7327, 9.6383, 9.6383 Å; angles 57.73, 90.01, 90.01 degrees
With the nearest neighbours (Å) after each atom.
Fractional coordinates of all 18 atoms:
Na 0.7501 0.8288 0.8287  2 Na 3.37, 6 Bi 3.48-3.63, 4 Hg 3.49-3.52
Na 0.2499 0.1712 0.1713  2 Na 3.37, 6 Bi 3.48-3.63, 4 Hg 3.49-3.52
Na 0.2501 0.8287 0.8288  2 Na 3.37, 6 Bi 3.48-3.63, 4 Hg 3.49-3.52
Na 0.7500 0.4999 0.5001  2 Na 3.37, 8 Bi 3.47-3.62, 4 Hg 3.72-3.73
Na 0.7499 0.1713 0.1712  2 Na 3.37, 6 Bi 3.48-3.63, 4 Hg 3.49-3.52
Na 0.2500 0.5001 0.4999  2 Na 3.37, 8 Bi 3.47-3.62, 4 Hg 3.72-3.73
Hg 0.4995 0.8420 0.5048  1 Hg 3.00, 2 Bi 3.17-3.18
Hg 0.0005 0.4952 0.1580  1 Hg 3.00, 2 Bi 3.17-3.18
Hg 0.9995 0.5048 0.8420  1 Hg 3.00, 2 Bi 3.17-3.18
Hg 0.5005 0.1580 0.4952  1 Hg 3.00, 2 Bi 3.17-3.18
Bi 0.4996 0.4914 0.8363  3 Hg 3.18-3.37, 2 Bi 3.22-3.25, 2 Na 3.48
Bi 0.0004 0.1637 0.5086  3 Hg 3.18-3.37, 2 Bi 3.22-3.25, 2 Na 3.48
Bi 0.0000 0.1809 0.8327  1 Hg 3.17, 4 Bi 3.22-3.37, 2 Na 3.47
Bi 0.9996 0.8363 0.4914  3 Hg 3.18-3.37, 2 Bi 3.22-3.25, 2 Na 3.48
Bi 0.5004 0.5086 0.1637  3 Hg 3.18-3.37, 2 Bi 3.22-3.25, 2 Na 3.48
Bi 0.0000 0.8191 0.1673  1 Hg 3.17, 4 Bi 3.22-3.37, 2 Na 3.47
Bi 0.5000 0.8327 0.1809  1 Hg 3.17, 4 Bi 3.22-3.37, 2 Na 3.47
Bi 0.5000 0.1673 0.8191  1 Hg 3.17, 4 Bi 3.22-3.37, 2 Na 3.47

---

# 6
Crystalline Na3HgBi3 at its relaxed geometry. Source: Alexandria via LeMat-Bulk, functional PBE.

Calculated values
Its total energy is -2.33 eV per atom. As for the space group: No. 11. The value obtained for the formation energy is -0.056 eV per atom. As for the calculated density: 5.95 g/cm3.

Cell lengths 5.4860, 10.3280, 10.3270 Å; angles 121.22, 90.00, 90.00 degrees
With the nearest neighbours (Å) after each atom.
Fractional coordinates of all 14 atoms:
Na 0.2500 0.2222 0.7771  4 Bi 3.33-3.43, 2 Hg 3.37, 2 Na 3.48
Na 0.7500 0.7773 0.5599  4 Bi 3.36-3.42, 2 Hg 3.41, 2 Na 3.42-3.48
Na 0.2500 0.5598 0.7781  4 Bi 3.36-3.42, 2 Hg 3.41, 2 Na 3.42-3.48
Na 0.7500 0.4402 0.2219  4 Bi 3.36-3.42, 2 Hg 3.41, 2 Na 3.42-3.48
Na 0.2500 0.2227 0.4401  4 Bi 3.36-3.42, 2 Hg 3.41, 2 Na 3.42-3.48
Na 0.7500 0.7778 0.2229  4 Bi 3.33-3.43, 2 Hg 3.37, 2 Na 3.48
Hg 0.7500 0.3315 0.6685  6 Na 3.37-3.41
Hg 0.2500 0.6685 0.3315  6 Na 3.37-3.41
Bi 0.2500 0.2201 0.1076  6 Bi 3.32-3.54, 4 Na 3.36-3.43
Bi 0.7500 0.7799 0.8924  6 Bi 3.32-3.54, 4 Na 3.36-3.43
Bi 0.7500 0.1171 0.8826  4 Na 3.33-3.36, 6 Bi 3.39-3.54
Bi 0.2500 0.8829 0.1174  4 Na 3.33-3.36, 6 Bi 3.39-3.54
Bi 0.2500 0.8921 0.7800  6 Bi 3.32-3.53, 4 Na 3.36-3.42
Bi 0.7500 0.1079 0.2200  6 Bi 3.32-3.53, 4 Na 3.36-3.42

---

# 7
Crystalline NaHg6Bi at its relaxed geometry. Source: Alexandria via LeMat-Bulk, functional PBE.

Calculated values
Its total energy is -0.93 eV per atom. For the energy above the most stable polymorph in this dataset, the calculation gives 5 meV per atom. As for the space group: No. 38. The value obtained for the formation energy is -0.057 eV per atom. As for the calculated density: 10.96 g/cm3.

Cell lengths 5.7043, 6.3031, 6.3031 Å; angles 106.36, 90.00, 90.00 degrees
With the nearest neighbours (Å) after each atom.
Fractional coordinates of all 8 atoms:
Hg 0.0000 0.6474 0.9206  5 Hg 3.08-3.31, 2 Bi 3.11-3.23
Hg 0.5000 0.9053 0.0947  8 Hg 3.14-3.31
Hg 0.0000 0.0794 0.3526  5 Hg 3.08-3.31, 2 Bi 3.11-3.23
Hg 0.0000 0.5830 0.4170  8 Hg 3.08-3.36
Hg 0.5000 0.8606 0.5862  5 Hg 3.14-3.38, 2 Na 3.15-3.18
Hg 0.5000 0.4138 0.1394  5 Hg 3.14-3.38, 2 Na 3.15-3.18
Na 0.5000 0.3704 0.6296  4 Hg 3.15-3.18
Bi 0.0000 0.1398 0.8602  4 Hg 3.11-3.23

---

# 8
Crystalline Na3Hg5Bi2 at its relaxed geometry. Source: Alexandria via LeMat-Bulk, functional PBE.

Calculated values
Its total energy is -1.50 eV per atom. As for the space group: No. 15. The value obtained for the formation energy is -0.179 eV per atom. As for the calculated density: 8.97 g/cm3.

Cell lengths 7.1976, 9.0812, 9.0816 Å; angles 110.39, 94.37, 94.36 degrees
With the nearest neighbours (Å) after each atom.
Fractional coordinates of all 20 atoms:
Hg 0.7500 0.5331 0.4669  4 Hg 3.17-3.43, 4 Na 3.28-3.30, 2 Bi 3.47
Hg 0.1415 0.9741 0.2632  3 Hg 3.09-3.30, 4 Na 3.13-3.36, 2 Bi 3.30-3.41
Hg 0.8585 0.0259 0.7368  3 Hg 3.09-3.30, 4 Na 3.13-3.36, 2 Bi 3.30-3.41
Hg 0.3585 0.7368 0.0259  3 Hg 3.09-3.30, 4 Na 3.13-3.36, 2 Bi 3.29-3.41
Hg 0.9910 0.7105 0.7985  4 Hg 3.17-3.43, 4 Na 3.22-3.30, 1 Bi 3.39
Hg 0.0090 0.2895 0.2015  4 Hg 3.17-3.43, 4 Na 3.22-3.30, 1 Bi 3.39
Hg 0.6415 0.2632 0.9741  3 Hg 3.09-3.30, 4 Na 3.13-3.36, 2 Bi 3.29-3.41
Hg 0.4910 0.7985 0.7105  4 Hg 3.17-3.43, 4 Na 3.22-3.30, 1 Bi 3.39
Hg 0.2500 0.4669 0.5331  4 Hg 3.17-3.43, 4 Na 3.28-3.30, 2 Bi 3.47
Hg 0.5090 0.2015 0.2895  4 Hg 3.17-3.43, 4 Na 3.22-3.30, 1 Bi 3.39
Na 0.1098 0.7907 0.4963  6 Hg 3.13-3.30, 2 Bi 3.31-3.37
Na 0.8902 0.2093 0.5037  6 Hg 3.13-3.30, 2 Bi 3.31-3.37
Na 0.2500 0.0558 0.9442  8 Hg 3.21-3.36, 2 Bi 3.49
Na 0.3901 0.5037 0.2093  6 Hg 3.13-3.30, 2 Bi 3.31-3.37
Na 0.7500 0.9442 0.0558  8 Hg 3.21-3.36, 2 Bi 3.49
Na 0.6099 0.4963 0.7907  6 Hg 3.13-3.30, 2 Bi 3.31-3.37
Bi 0.6231 0.8592 0.3835  5 Hg 3.30-3.63, 2 Bi 3.30-3.41, 3 Na 3.31-3.49
Bi 0.8769 0.6165 0.1408  5 Hg 3.29-3.63, 2 Bi 3.30-3.41, 3 Na 3.31-3.49
Bi 0.3769 0.1408 0.6165  5 Hg 3.30-3.63, 2 Bi 3.30-3.41, 3 Na 3.31-3.49
Bi 0.1231 0.3835 0.8592  5 Hg 3.29-3.63, 2 Bi 3.30-3.41, 3 Na 3.31-3.49

---

# 9
Crystalline Na2Hg2Bi3 at its relaxed geometry. Source: Alexandria via LeMat-Bulk, functional PBE.

Calculated values
Its total energy is -2.29 eV per atom. For the energy above the most stable polymorph in this dataset, the calculation gives 0 meV per atom. As for the space group: No. 12. The value obtained for the formation energy is -0.163 eV per atom. As for the calculated density: 8.81 g/cm3.

Cell lengths 5.0844, 5.6469, 8.1112 Å; angles 101.76, 90.00, 116.76 degrees
With the nearest neighbours (Å) after each atom.
Fractional coordinates of all 7 atoms:
Na 0.9142 0.8285 0.2551  4 Hg 3.20-3.30, 5 Bi 3.43-3.51
Na 0.0858 0.1715 0.7449  4 Hg 3.20-3.30, 5 Bi 3.43-3.51
Hg 0.7910 0.5820 0.8555  4 Na 3.20-3.30, 4 Bi 3.34-3.40
Hg 0.2090 0.4180 0.1445  4 Na 3.20-3.30, 4 Bi 3.34-3.40
Bi 0.6388 0.2776 0.4365  4 Bi 3.20-3.50, 1 Hg 3.40, 3 Na 3.43-3.50
Bi 0.5000 0.0000 0.0000  6 Hg 3.34-3.40, 2 Bi 3.50, 4 Na 3.51
Bi 0.3612 0.7224 0.5635  4 Bi 3.20-3.50, 1 Hg 3.40, 3 Na 3.43-3.50

---

# 10
Crystalline NaHg2Bi at its relaxed geometry. Source: Alexandria via LeMat-Bulk, functional PBE.

Calculated values
Its total energy is -1.57 eV per atom. As for the space group: No. 123. The value obtained for the formation energy is -0.122 eV per atom. As for the calculated density: 9.98 g/cm3.

Cell lengths 4.5325, 4.8220, 4.8220 Å; angles 90.00, 90.00, 90.00 degrees
With the nearest neighbours (Å) after each atom.
Fractional coordinates of all 4 atoms:
Na 0.5000 0.0000 0.0000  8 Hg 3.31, 4 Bi 3.41
Bi 0.5000 0.5000 0.5000  8 Hg 3.31, 4 Na 3.41
Hg 0.0000 0.0000 0.5000  4 Bi 3.31, 4 Na 3.31, 4 Hg 3.41
Hg 0.0000 0.5000 0.0000  4 Na 3.31, 4 Bi 3.31, 4 Hg 3.41

---

# 11
Crystalline NaHg2Bi at its relaxed geometry. Source: Alexandria via LeMat-Bulk, functional PBE.

Calculated values
Its total energy is -1.59 eV per atom. As for the space group: No. 123. The value obtained for the formation energy is -0.138 eV per atom. As for the calculated density: 9.71 g/cm3.

Cell lengths 3.4465, 3.4465, 9.1193 Å; angles 90.00, 90.00, 90.00 degrees
With the nearest neighbours (Å) after each atom.
Fractional coordinates of all 4 atoms:
Bi 0.5000 0.5000 0.5000  4 Bi 3.45, 8 Hg 3.47
Hg 0.0000 0.0000 0.7705  4 Na 3.21, 4 Hg 3.45, 4 Bi 3.47
Hg 0.0000 0.0000 0.2295  4 Na 3.21, 4 Hg 3.45, 4 Bi 3.47
Na 0.5000 0.5000 0.0000  8 Hg 3.21, 4 Na 3.45

---

# 12
Crystalline NaHgBi4 at its relaxed geometry. Source: Alexandria via LeMat-Bulk, functional PBE.

Calculated values
Its total energy is -2.85 eV per atom. For the energy above the most stable polymorph in this dataset, the calculation gives 92 meV per atom. As for the space group: No. 216. The value obtained for the formation energy is 0.009 eV per atom. As for the calculated density: 8.47 g/cm3.

Cell lengths 6.6468, 6.6468, 6.6468 Å; angles 60.00, 60.00, 60.00 degrees
With the nearest neighbours (Å) after each atom.
Fractional coordinates of all 6 atoms:
Hg 0.0000 0.0000 0.0000  12 Bi 3.89, 4 Na 4.07
Bi 0.6268 0.6268 0.1197  6 Bi 3.28-3.37
Bi 0.6268 0.6268 0.6268  6 Bi 3.28-3.37
Bi 0.1197 0.6268 0.6268  6 Bi 3.28-3.37
Bi 0.6268 0.1197 0.6268  6 Bi 3.28-3.37
Na 0.2500 0.2500 0.2500  12 Bi 3.90, 4 Hg 4.07

---

Ordered V results: 30.49; 28.02; 27.47; 30.81; 29.38; 35.74; 27.18; 27.57; 28.92; 26.35; 27.08; 34.61; unit Å³ per atom.